# 1
First-principles (PBE) data for an optimized crystal structure of HoEr3Mn, as listed in Alexandria via LeMat-Bulk.

a b c (Å): 5.2398 5.2398 5.2398
angles (deg): 90.00 90.00 90.00
With the nearest neighbours (Å) after each atom.
Space group Pm-3m (No. 221)
Asymmetric unit:
Ho1 0.0000 0.0000 0.0000 (multiplicity 1)  12 Er 3.71
Er1 0.0000 0.5000 0.5000 (multiplicity 3)  2 Mn 2.62
Mn1 0.5000 0.5000 0.5000 (multiplicity 1)  6 Er 2.62

- magnetization (μB/cell) = 0.47
- calculated formation energy (kJ/mol of atoms) = 22.32
- E (eV/atom) = -5.256
- calculated density (g/cm³) = 8.3

***

# 2
First-principles (PBE) data for an optimized crystal structure of Ho3ErMn, as listed in Alexandria via LeMat-Bulk.

a b c (Å): 5.2553 5.2553 5.2553
angles (deg): 90.00 90.00 90.00
With the nearest neighbours (Å) after each atom.
Space group Pm-3m (No. 221)
Asymmetric unit:
Ho1 0.0000 0.0000 0.5000 (multiplicity 3)  2 Mn 2.63
Er1 0.5000 0.5000 0.5000 (multiplicity 1)  12 Ho 3.72
Mn1 0.0000 0.0000 0.0000 (multiplicity 1)  6 Ho 2.63

- magnetization (μB/cell) = 0.46
- calculated formation energy (kJ/mol of atoms) = 23.33
- E (eV/atom) = -5.251
- calculated density (g/cm³) = 8.2

***

# 3
First-principles (PBE) data for an optimized crystal structure of HoEr2Mn, as listed in Alexandria via LeMat-Bulk.

a b c (Å): 3.5016 3.5016 8.5491
angles (deg): 90.00 90.00 90.00
With the nearest neighbours (Å) after each atom.
Space group P4/mmm (No. 123)
Asymmetric unit:
Ho1 0.0000 0.0000 0.0000 (multiplicity 1)  4 Ho 3.50, 8 Er 3.56
Er1 0.5000 0.5000 0.2994 (multiplicity 2)  4 Mn 3.01
Mn1 0.0000 0.0000 0.5000 (multiplicity 1)  8 Er 3.01

- polymorph energy (0 for the lowest one) (eV/atom) = 0.000
- magnetization (μB/cell) = 3.57
- calculated formation energy (kJ/mol of atoms) = 10.94
- E (eV/atom) = -5.605
- calculated density (g/cm³) = 8.8

***

# 4
First-principles (PBE) data for an optimized crystal structure of HoErMnNi, as listed in Alexandria via LeMat-Bulk.

a b c (Å): 6.8566 6.8566 6.8566
angles (deg): 90.00 90.00 90.00
With the nearest neighbours (Å) after each atom.
Space group F-43m (No. 216)
Asymmetric unit:
Ho1 0.0000 0.0000 0.0000 (multiplicity 4)  4 Mn 2.97, 4 Ni 2.97
Er1 0.0000 0.0000 0.5000 (multiplicity 4)  4 Ni 2.97, 4 Mn 2.97
Mn1 0.2500 0.2500 0.2500 (multiplicity 4)  4 Ho 2.97, 4 Er 2.97
Ni1 0.2500 0.2500 0.7500 (multiplicity 4)  4 Ho 2.97, 4 Er 2.97

- magnetization (μB/cell) = 13.37
- calculated formation energy (kJ/mol of atoms) = -4.00
- E (eV/atom) = -6.064
- calculated density (g/cm³) = 9.2

***

# 5
First-principles (PBE) data for an optimized crystal structure of Ho2ErMnS6, as listed in Alexandria via LeMat-Bulk.

a b c (Å): 6.5622 6.6809 7.0159
angles (deg): 62.28 89.84 62.21
With the nearest neighbours (Å) after each atom.
Space group P1 (No. 1)
Asymmetric unit:
Ho1 0.0000 0.0000 0.0000 (multiplicity 1)  6 S 2.68-2.82
Ho2 0.4974 0.0018 0.5105 (multiplicity 1)  6 S 2.64-2.87
Er1 0.7028 0.5867 0.1099 (multiplicity 1)  6 S 2.62-2.79
Mn1 0.1970 0.5981 0.5952 (multiplicity 1)  5 S 2.41-2.69
S1 0.0985 0.4926 0.3338 (multiplicity 1)  1 Mn 2.43, 1 Er 2.68, 1 Ho 2.72
S2 0.3029 0.7472 0.8097 (multiplicity 1)  1 Mn 2.41
S3 0.4052 0.7580 0.3359 (multiplicity 1)  1 Mn 2.42, 1 Er 2.69, 1 Ho 2.70
S4 0.5777 0.0975 0.8286 (multiplicity 1)  2 Ho 2.68-2.70, 1 Mn 2.69, 1 Er 2.71
S5 0.8150 0.0918 0.3153 (multiplicity 1)  1 Er 2.62, 2 Ho 2.64-2.70, 1 Mn 2.70
S6 0.9290 0.4983 0.8001 (multiplicity 1)  1 Mn 2.41

- magnetization (μB/cell) = 4.00
- E (eV/atom) = -6.371
- calculated density (g/cm³) = 5.3
- raw formation energy (meV/atom) = -1606

***

# 6
First-principles (PBE) data for an optimized crystal structure of HoErMnTc, as listed in Alexandria via LeMat-Bulk.

a b c (Å): 6.9099 6.9099 6.9099
angles (deg): 90.00 90.00 90.00
With the nearest neighbours (Å) after each atom.
Space group F-43m (No. 216)
Asymmetric unit:
Ho1 0.0000 0.0000 0.0000 (multiplicity 4)  4 Mn 2.99, 4 Tc 2.99
Er1 0.0000 0.0000 0.5000 (multiplicity 4)  4 Mn 2.99, 4 Tc 2.99
Mn1 0.2500 0.2500 0.2500 (multiplicity 4)  4 Ho 2.99, 4 Er 2.99
Tc1 0.2500 0.2500 0.7500 (multiplicity 4)  4 Ho 2.99, 4 Er 2.99

- magnetization (μB/cell) = 15.07
- calculated formation energy (kJ/mol of atoms) = 9.24
- E (eV/atom) = -7.073
- calculated density (g/cm³) = 9.8

***

# 7
First-principles (PBE) data for an optimized crystal structure of HoErMo, as listed in Alexandria via LeMat-Bulk.

a b c (Å): 12.5118 4.3469 5.9241
angles (deg): 90.00 95.81 90.00
With the nearest neighbours (Å) after each atom.
Space group C2/m (No. 12)
Asymmetric unit:
Ho1 0.1522 0.0000 0.3659 (multiplicity 4)  4 Mo 2.95-3.25
Er1 0.0721 0.5000 0.7730 (multiplicity 4)  1 Mo 2.78
Mo1 0.2442 0.5000 0.1085 (multiplicity 4)  2 Mo 2.54, 1 Er 2.78

- magnetization (μB/cell) = 0.00
- calculated formation energy (kJ/mol of atoms) = 23.13
- E (eV/atom) = -6.418
- calculated density (g/cm³) = 8.9

***

# 8
First-principles (PBE) data for an optimized crystal structure of HoErMo2N6, as listed in Alexandria via LeMat-Bulk.

a b c (Å): 11.1280 9.5303 6.2508
angles (deg): 90.00 112.27 90.00
With the nearest neighbours (Å) after each atom.
Space group C2/c (No. 15)
Asymmetric unit:
Ho1 0.0000 0.2092 0.2500 (multiplicity 4)  6 N 2.32-2.48
Er1 0.0000 0.4126 0.7500 (multiplicity 4)  6 N 2.28-2.43
Mo1 0.2101 0.0906 0.7263 (multiplicity 8)  4 N 1.78-1.95
N1 0.1088 0.3910 0.1532 (multiplicity 8)  1 Mo 1.87
N2 0.1311 0.2569 0.6640 (multiplicity 8)  1 Mo 1.78
N3 0.1435 0.0132 0.4270 (multiplicity 8)  2 Mo 1.88-1.95

- magnetization (μB/cell) = 0.00
- E (eV/atom) = -8.992
- calculated density (g/cm³) = 6.6
- raw formation energy (meV/atom) = -917